1.
# MgAg2Te

MgAg2Te after structural relaxation (PBE, Alexandria via LeMat-Bulk).

Output
As for the raw formation energy: 0.2 eV per formula unit. The calculation puts the raw total energy at -2.556 eV per atom. Its space group is R-3m (166). Its energy above the most stable polymorph in this dataset is 210 meV/atom.

Lattice parameters (Å, degrees): 10.0664 10.0664 10.0664 18.14 18.14 18.14
Fractional positions:
Ag (0.5090, 0.5090, 0.5090)
Te (0.7500, 0.7500, 0.7500)
Ag (0.9910, 0.9910, 0.9910)
Mg (0.2500, 0.2500, 0.2500)

=====

2.
# TaI2Br

TaI2Br after structural relaxation (PBE, Alexandria via LeMat-Bulk).

Output
As for the raw formation energy: -1.9 eV per formula unit. The calculation puts the raw total energy at -4.622 eV per atom. Its space group is C2 (5). Its energy above the most stable polymorph in this dataset is 11 meV/atom.

Lattice parameters (Å, degrees): 7.6054 10.9651 6.9193 90.00 93.90 90.00
Fractional positions:
I (0.2048, 0.7679, 0.1833)
I (0.2745, 0.9307, 0.6879)
Ta (0.0000, 0.3065, 0.0000)
I (0.7952, 0.2679, 0.3167)
I (0.7952, 0.7679, 0.8167)
I (0.7255, 0.4307, 0.8121)
I (0.7255, 0.9307, 0.3121)
Br (0.1722, 0.1022, 0.1914)
Ta (0.0000, 0.5576, 0.0000)
I (0.2745, 0.4307, 0.1879)
Ta (0.0000, 0.0576, 0.5000)
Br (0.8278, 0.1022, 0.8086)
Br (0.8278, 0.6022, 0.3086)
Ta (0.0000, 0.8065, 0.5000)
Br (0.1722, 0.6022, 0.6914)
I (0.2048, 0.2679, 0.6833)

=====

3.
# SrPrGeN3

SrPrGeN3 after structural relaxation (PBE, Alexandria via LeMat-Bulk).

Output
As for the raw formation energy: -3.3 eV per formula unit. The calculation puts the raw total energy at -6.566 eV per atom. Its space group is C2/m (12).

Lattice parameters (Å, degrees): 4.0769 6.8567 7.3526 105.41 90.00 107.29
Fractional positions:
Ge (0.0022, 0.0043, 0.2577)
Pr (0.3504, 0.7008, 0.4224)
Sr (0.3513, 0.7027, 0.9278)
N (0.5033, 0.0067, 0.2711)
N (0.4967, 0.9933, 0.7289)
N (0.1486, 0.2971, 0.8122)
N (0.8454, 0.6907, 0.6645)
Sr (0.6487, 0.2973, 0.0722)
N (0.1546, 0.3093, 0.3355)
N (0.8514, 0.7029, 0.1878)
Ge (0.9978, 0.9957, 0.7423)
Pr (0.6496, 0.2992, 0.5776)

=====

4.
# Tb6Nd4Sm

Tb6Nd4Sm after structural relaxation (PBE, Alexandria via LeMat-Bulk).

Output
The calculation puts the raw total energy at -4.260 eV per atom. The calculation puts the formation energy at 0.429 eV per atom. Its space group is I-42m (121). Its energy above the most stable polymorph in this dataset is 129 meV/atom.

Lattice parameters (Å, degrees): 7.7348 7.7348 8.5626 116.85 116.85 90.00
Fractional positions:
Sm (0.5000, 0.5000, 0.0000)
Tb (0.0000, 0.5000, 0.0000)
Nd (0.2506, 0.2506, 0.1528)
Nd (0.9023, 0.9023, 0.1528)
Nd (0.0977, 0.7494, 0.8472)
Tb (0.9275, 0.4433, 0.3708)
Tb (0.4433, 0.9275, 0.3708)
Tb (0.5567, 0.5567, 0.6292)
Nd (0.7494, 0.0977, 0.8472)
Tb (0.0725, 0.0725, 0.6292)
Tb (0.5000, 0.0000, 0.0000)

=====

5.
# ReNi2Se

ReNi2Se after structural relaxation (PBE, Alexandria via LeMat-Bulk).

Output
As for the raw formation energy: 2.2 eV per formula unit. The calculation puts the raw total energy at -6.315 eV per atom. Its space group is I4/mmm (139).

Lattice parameters (Å, degrees): 4.6926 4.6926 4.6926 133.52 133.52 67.84
Fractional positions:
Ni (0.5000, 0.5000, 0.0000)
Re (0.2500, 0.7500, 0.5000)
Se (0.7500, 0.2500, 0.5000)
Ni (0.0000, 0.0000, 0.0000)